[1]
This record from Alexandria describes Tc2Ge6Pt after structural relaxation. The functional is PBE-GGA.

Properties
energy of formation from the pure elements = -0.091 eV/atom
total magnetization = 0.000 μB/cell
space-group type = C2/m (12)

```
data_Tc2Ge6Pt
_chemical_formula_sum 'Tc2 Ge6 Pt1'
_symmetry_space_group_name_H-M 'P 1'
_symmetry_Int_Tables_number 1
_cell_length_a 6.2326
_cell_length_b 6.2326
_cell_length_c 8.2950
_cell_angle_alpha 110.47
_cell_angle_beta 110.47
_cell_angle_gamma 30.21
loop_
_symmetry_equiv_pos_as_xyz
'x,y,z'
loop_
_atom_site_label
_atom_site_fract_x
_atom_site_fract_y
_atom_site_fract_z
_atom_site_occupancy
Tc1 0.2450 0.2450 0.2460 1
Tc2 0.7550 0.7550 0.7540 1
Ge1 0.1562 0.1562 0.9073 1
Ge2 0.1580 0.1580 0.4966 1
Ge3 0.4347 0.4347 0.8264 1
Ge4 0.5653 0.5653 0.1736 1
Ge5 0.8420 0.8420 0.5034 1
Ge6 0.8438 0.8438 0.0927 1
Pt1 0.5000 0.5000 0.5000 1
```



[2]
This record from Alexandria describes Tc3GePt after structural relaxation. The functional is PBE-GGA.

Properties
energy of formation from the pure elements = 1.328 eV/atom
ΔE to the lowest computed polymorph = 0 meV/atom
total magnetization = 0.000 μB/cell
space-group type = Pm-3m (221)

```
data_Tc3GePt
_chemical_formula_sum 'Tc3 Ge1 Pt1'
_symmetry_space_group_name_H-M 'P 1'
_symmetry_Int_Tables_number 1
_cell_length_a 4.4755
_cell_length_b 4.4755
_cell_length_c 4.4755
_cell_angle_alpha 90.00
_cell_angle_beta 90.00
_cell_angle_gamma 90.00
loop_
_symmetry_equiv_pos_as_xyz
'x,y,z'
loop_
_atom_site_label
_atom_site_fract_x
_atom_site_fract_y
_atom_site_fract_z
_atom_site_occupancy
Tc1 0.0000 0.0000 0.5000 1
Tc2 0.0000 0.5000 0.0000 1
Tc3 0.5000 0.0000 0.0000 1
Ge1 0.0000 0.0000 0.0000 1
Pt1 0.5000 0.5000 0.5000 1
```



[3]
This record from Alexandria describes TcGePt3 after structural relaxation. The functional is PBE-GGA.

Properties
energy of formation from the pure elements = 1.122 eV/atom
ΔE to the lowest computed polymorph = 270 meV/atom
total magnetization = 0.000 μB/cell
space-group type = Pm-3m (221)

```
data_TcGePt3
_chemical_formula_sum 'Tc1 Ge1 Pt3'
_symmetry_space_group_name_H-M 'P 1'
_symmetry_Int_Tables_number 1
_cell_length_a 4.8141
_cell_length_b 4.8141
_cell_length_c 4.8141
_cell_angle_alpha 90.00
_cell_angle_beta 90.00
_cell_angle_gamma 90.00
loop_
_symmetry_equiv_pos_as_xyz
'x,y,z'
loop_
_atom_site_label
_atom_site_fract_x
_atom_site_fract_y
_atom_site_fract_z
_atom_site_occupancy
Tc1 0.0000 0.0000 0.0000 1
Ge1 0.5000 0.5000 0.5000 1
Pt1 0.0000 0.0000 0.5000 1
Pt2 0.0000 0.5000 0.0000 1
Pt3 0.5000 0.0000 0.0000 1
```



Question: Which value of total magnetization does entry 3 give?
Answer: 0.000 μB/cell



Question: Which value of energy of formation from the pure elements does entry 3 give?
Answer: 1.122 eV/atom



Question: Which formula does entry 3 have?
Answer: TcGePt3